The following is a meta-GGA SCAN calculation of a PBEsol-optimized structure of Ta2ZnPb, from Alexandria.

Results
Size of the total moment, μB per atom: 0.00
Formation enthalpy at 0 K, eV per atom: 0.35

Cell and atoms, written as POSCAR:
```
Ta2ZnPb
1.0
-0.986 1.389 -2.363
0.103 -2.491 -1.507
-8.723 -1.890 2.528
Pb Ta Zn
1 2 1
direct
0.500 0.500 0.756
0.000 0.000 0.023
0.500 0.500 0.259
0.000 0.000 0.462
```


The following is a meta-GGA SCAN calculation of a PBEsol-optimized structure of ZrTa2Pb, from Alexandria.

Results
Size of the total moment, μB per atom: 0.00
Formation enthalpy at 0 K, eV per atom: 0.24

Cell and atoms, written as POSCAR:
```
ZrTa2Pb
1.0
-2.595 -1.576 -0.241
3.453 -3.103 2.356
-1.885 2.433 4.388
Pb Ta Zr
1 2 1
direct
0.746 0.492 0.250
0.003 0.006 0.988
0.255 0.510 0.761
0.496 0.992 0.501
```


The following is a meta-GGA SCAN calculation of a PBEsol-optimized structure of Zr2TaPb, from Alexandria.

Results
Size of the total moment, μB per atom: 0.00
Formation enthalpy at 0 K, eV per atom: -0.19

Cell and atoms, written as POSCAR:
```
Zr2TaPb
1.0
-2.426 0.446 2.625
-1.313 -3.289 -0.655
4.153 -2.508 4.264
Pb Ta Zr
1 1 2
direct
0.500 0.500 0.000
0.500 0.500 0.500
0.000 0.000 0.738
0.000 0.000 0.262
```


The following is a meta-GGA SCAN calculation of a PBEsol-optimized structure of ZrTaPb2, from Alexandria.

Results
Size of the total moment, μB per atom: 0.00
Formation enthalpy at 0 K, eV per atom: 0.17

Cell and atoms, written as POSCAR:
```
ZrTaPb2
1.0
3.747 0.000 0.000
0.000 4.583 0.000
0.000 0.000 5.117
Pb Ta Zr
2 1 1
direct
0.000 0.000 0.000
0.500 0.000 0.500
0.500 0.500 0.000
0.000 0.500 0.500
```


The following is a meta-GGA SCAN calculation of a PBEsol-optimized structure of ZrTa2Pb, from Alexandria.

Results
Size of the total moment, μB per atom: 0.00
Formation enthalpy at 0 K, eV per atom: 0.20

Cell and atoms, written as POSCAR:
```
ZrTa2Pb
1.0
3.576 0.000 0.000
0.000 3.576 0.000
0.000 0.000 6.182
Pb Ta Zr
1 2 1
direct
0.500 0.500 0.500
0.000 0.000 0.754
0.000 0.000 0.246
0.500 0.500 0.000
```


The following is a meta-GGA SCAN calculation of a PBEsol-optimized structure of Zr2TaPb, from Alexandria.

Results
Size of the total moment, μB per atom: 0.00
Formation enthalpy at 0 K, eV per atom: -0.05

Cell and atoms, written as POSCAR:
```
Zr2TaPb
1.0
-1.075 2.005 2.192
2.920 -2.179 3.425
4.112 3.085 -1.543
Pb Ta Zr
1 1 2
direct
0.366 0.000 0.459
0.389 0.500 0.801
0.948 0.000 0.944
0.797 0.500 0.296
```